{
  "formula": "CrPt2",
  "functional": "PBE",
  "state": "relaxed",
  "cell": [[5.5020, 0.0000, 0.0000], [0.0000, 3.7749, 0.0000], [0.0000, 0.0000, 8.3131]],
  "species": ["Cr", "Cr", "Cr", "Cr", "Pt", "Pt", "Pt", "Pt", "Pt", "Pt", "Pt", "Pt"],
  "fractional_positions": [[0.1014, 0.2500, 0.0675], [0.3986, 0.7500, 0.5675], [0.6014, 0.2500, 0.4325], [0.8986, 0.7500, 0.9325], [0.1196, 0.2500, 0.7567], [0.1359, 0.2500, 0.4217], [0.3641, 0.7500, 0.9217], [0.3804, 0.7500, 0.2567], [0.6196, 0.2500, 0.7433], [0.6359, 0.2500, 0.0783], [0.8641, 0.7500, 0.5783], [0.8804, 0.7500, 0.2433]],
  "e_tot_ev_per_atom": -7.42,
  "ef_mev_per_atom": -189,
  "total_magnetization_mub_per_fu": 0.00
}


{
  "formula": "PaNiRhN",
  "functional": "PBE",
  "state": "relaxed",
  "cell": [[3.9945, 0.0000, 0.0000], [0.0000, 3.9945, 0.0000], [0.0000, 0.0000, 7.2947]],
  "species": ["Pa", "Pa", "Ni", "Ni", "Rh", "Rh", "N", "N"],
  "fractional_positions": [[0.2500, 0.2500, 0.1625], [0.7500, 0.7500, 0.8375], [0.2500, 0.2500, 0.7097], [0.7500, 0.7500, 0.2903], [0.2500, 0.7500, 0.5000], [0.7500, 0.2500, 0.5000], [0.2500, 0.7500, 0.0000], [0.7500, 0.2500, 0.0000]],
  "raw_formation_energy_ev_per_fu": -2.9,
  "e_tot_ev_per_atom": -8.47,
  "total_magnetization_mub_per_fu": 0.59
}